# 1
Here is a geometry-optimized BaY2Se structure from Alexandria. Energies are from PBE.

Values from the calculation:
The density of states at the Fermi level comes out at 6.0 states/eV per cell. The formation energy without anion corrections comes out at -0.719 eV/atom. The calculated total energy is -21.2 eV/cell. As for the space group: P4mm. Its crystal system is tetragonal.

Structure (POSCAR):
```
BaY2Se
1.0
-0.475 -1.488 -3.562
2.696 -2.697 0.768
-6.255 -5.376 3.081
Ba Se Y
1 1 2
Direct
0.000 0.000 0.531 Ba
0.500 0.500 0.826 Se
0.000 0.000 0.950 Y
0.500 0.500 0.194 Y
```

---

# 2
Here is a geometry-optimized BaY2Se2 structure from Alexandria. Energies are from PBE.

Values from the calculation:
The density of states at the Fermi level comes out at 4.7 states/eV per cell. The formation energy without anion corrections comes out at -1.194 eV/atom. The calculated total energy is -27.8 eV/cell. As for the space group: I4/mmm. Its crystal system is tetragonal.

Structure (POSCAR):
```
BaY2Se2
1.0
4.533 0.000 0.000
0.000 4.533 0.000
2.267 2.267 7.294
Y Ba Se
2 1 2
Direct
0.750 0.250 0.500 Y
0.250 0.750 0.500 Y
0.000 0.000 0.000 Ba
0.381 0.381 0.238 Se
0.619 0.619 0.762 Se
```

---

# 3
Here is a geometry-optimized BaY2Se structure from Alexandria. Energies are from PBE.

Values from the calculation:
The density of states at the Fermi level comes out at 5.2 states/eV per cell. The formation energy without anion corrections comes out at -0.672 eV/atom. The calculated total energy is -21.0 eV/cell. As for the space group: Cm. Its crystal system is monoclinic.

Structure (POSCAR):
```
BaY2Se
1.0
-3.876 -5.110 -1.828
-1.312 -4.670 -4.577
1.999 -6.357 0.847
Ba Se Y
1 1 2
Direct
0.559 0.559 0.506 Ba
0.289 0.289 0.046 Se
0.928 0.928 0.142 Y
0.725 0.725 0.806 Y
```

---

# 4
Here is a geometry-optimized Ba2YSe structure from Alexandria. Energies are from PBE.

Values from the calculation:
The density of states at the Fermi level comes out at 3.7 states/eV per cell. The formation energy without anion corrections comes out at -0.674 eV/atom. The calculated total energy is -16.5 eV/cell. As for the space group: R-3m. Its crystal system is trigonal.

Structure (POSCAR):
```
Ba2YSe
1.0
-5.756 -7.550 -5.530
-5.864 -9.169 -1.501
-8.718 -6.119 -2.694
Ba Se Y
2 1 1
Direct
0.980 0.980 0.980 Ba
0.520 0.520 0.520 Ba
0.250 0.250 0.250 Se
0.750 0.750 0.750 Y
```

---

# 5
Here is a geometry-optimized BaY2Se structure from Alexandria. Energies are from PBE.

Values from the calculation:
The density of states at the Fermi level comes out at 5.0 states/eV per cell. The formation energy without anion corrections comes out at -0.686 eV/atom. The calculated total energy is -21.1 eV/cell. As for the space group: Immm. Its crystal system is orthorhombic.

Structure (POSCAR):
```
BaY2Se
1.0
-0.622 4.028 5.568
-3.637 1.875 5.556
1.728 -2.447 5.205
Ba Se Y
1 1 2
Direct
0.750 0.750 0.750 Ba
0.250 0.250 0.250 Se
0.944 0.944 0.056 Y
0.556 0.556 0.444 Y
```

---

# 6
Here is a geometry-optimized Ba2YSe structure from Alexandria. Energies are from PBE.

Values from the calculation:
The density of states at the Fermi level comes out at 6.5 states/eV per cell. The formation energy without anion corrections comes out at -0.076 eV/atom. The calculated total energy is -14.1 eV/cell. As for the space group: F-43m. Its crystal system is cubic.

Structure (POSCAR):
```
Ba2YSe
1.0
5.881 0.000 0.000
2.940 5.093 0.000
2.940 1.698 4.802
Ba Se Y
2 1 1
Direct
0.000 0.000 0.000 Ba
0.250 0.250 0.250 Ba
0.500 0.500 0.500 Se
0.750 0.750 0.750 Y
```

---

# 7
Here is a geometry-optimized Ba2YSe structure from Alexandria. Energies are from PBE.

Values from the calculation:
The density of states at the Fermi level comes out at 3.9 states/eV per cell. The formation energy without anion corrections comes out at -0.658 eV/atom. The calculated total energy is -16.4 eV/cell. As for the space group: P4/mmm. Its crystal system is tetragonal.

Structure (POSCAR):
```
Ba2YSe
1.0
3.990 0.000 0.000
0.000 3.990 0.000
0.000 0.000 10.065
Ba Se Y
2 1 1
Direct
0.000 0.000 0.058 Ba
0.000 0.000 0.442 Ba
0.500 0.500 0.250 Se
0.500 0.500 0.750 Y
```

---

# 8
Here is a geometry-optimized Ba2YSe structure from Alexandria. Energies are from PBE.

Values from the calculation:
The density of states at the Fermi level comes out at 5.0 states/eV per cell. The formation energy without anion corrections comes out at -0.319 eV/atom. The calculated total energy is -15.1 eV/cell. As for the space group: I-4m2. Its crystal system is tetragonal.

Structure (POSCAR):
```
Ba2YSe
1.0
7.082 -0.038 0.000
3.639 6.075 0.000
-5.360 -3.018 3.508
Ba Se Y
2 1 1
Direct
0.000 0.000 0.000 Ba
0.250 0.750 0.500 Ba
0.500 0.500 0.000 Se
0.750 0.250 0.500 Y
```

---

# 9
Here is a geometry-optimized BaY2Se4 structure from Alexandria. Energies are from PBE.

Values from the calculation:
The formation energy without anion corrections comes out at -1.965 eV/atom. The calculation puts the energy above the most stable polymorph in this dataset at 25 meV/atom. The calculated total energy is -85.1 eV/cell. As for the space group: Cmcm. Its crystal system is orthorhombic.

Structure (POSCAR):
```
BaY2Se4
1.0
4.222 0.000 0.000
-2.111 6.875 0.000
0.000 0.000 14.285
Ba Y Se
2 4 8
Direct
0.610 0.219 0.750 Ba
0.390 0.781 0.250 Ba
0.135 0.270 0.433 Y
0.865 0.730 0.933 Y
0.135 0.270 0.067 Y
0.865 0.730 0.567 Y
0.768 0.535 0.112 Se
0.768 0.535 0.388 Se
0.232 0.465 0.888 Se
0.232 0.465 0.612 Se
0.935 0.869 0.750 Se
0.065 0.131 0.250 Se
0.500 0.000 0.000 Se
0.500 0.000 0.500 Se
```

---

# 10
Here is a geometry-optimized Ba2YSe structure from Alexandria. Energies are from PBE.

Values from the calculation:
The density of states at the Fermi level comes out at 4.2 states/eV per cell. The formation energy without anion corrections comes out at -0.689 eV/atom. The calculated total energy is -16.6 eV/cell. As for the space group: Immm. Its crystal system is orthorhombic.

Structure (POSCAR):
```
Ba2YSe
1.0
10.449 0.006 0.004
9.669 3.962 0.004
0.811 0.160 4.040
Ba Se Y
2 1 1
Direct
0.088 0.088 0.911 Ba
0.412 0.412 0.589 Ba
0.750 0.750 0.750 Se
0.250 0.250 0.250 Y
```

---

# 11
Here is a geometry-optimized BaY2Se structure from Alexandria. Energies are from PBE.

Values from the calculation:
The density of states at the Fermi level comes out at 5.1 states/eV per cell. The formation energy without anion corrections comes out at -0.258 eV/atom. The calculated total energy is -19.4 eV/cell. As for the space group: P4/mmm. Its crystal system is tetragonal.

Structure (POSCAR):
```
BaY2Se
1.0
-0.937 3.122 4.483
2.719 -2.920 2.602
3.827 2.639 -1.037
Ba Se Y
1 1 2
Direct
0.500 0.500 0.000 Ba
0.500 0.000 0.500 Se
0.000 0.000 0.000 Y
0.000 0.500 0.500 Y
```

---

# 12
Here is a geometry-optimized BaY3Se structure from Alexandria. Energies are from PBE.

Values from the calculation:
The density of states at the Fermi level comes out at 8.4 states/eV per cell. The formation energy without anion corrections comes out at -0.416 eV/atom. The calculation puts the energy above the most stable polymorph in this dataset at 0 meV/atom. The calculated total energy is -26.9 eV/cell. As for the space group: Pm-3m. Its crystal system is cubic.

Structure (POSCAR):
```
BaY3Se
1.0
5.620 0.000 0.000
0.000 5.620 0.000
0.000 0.000 5.620
Y Ba Se
3 1 1
Direct
0.000 0.500 0.000 Y
0.000 0.000 0.500 Y
0.500 0.000 0.000 Y
0.500 0.500 0.500 Ba
0.000 0.000 0.000 Se
```

---

# 13
Here is a geometry-optimized BaY2Se structure from Alexandria. Energies are from PBE.

Values from the calculation:
The density of states at the Fermi level comes out at 5.0 states/eV per cell. The formation energy without anion corrections comes out at -0.692 eV/atom. The calculated total energy is -21.1 eV/cell. As for the space group: Amm2. Its crystal system is orthorhombic.

Structure (POSCAR):
```
BaY2Se
1.0
-3.249 -1.952 0.697
2.388 -2.463 4.233
-0.843 3.571 6.066
Ba Se Y
1 1 2
Direct
0.000 0.512 0.601 Ba
0.500 0.982 0.661 Se
0.000 0.806 0.014 Y
0.500 0.201 0.224 Y
```

---

# 14
Here is a geometry-optimized BaY7Se12 structure from Alexandria. Energies are from PBE.

Values from the calculation:
The density of states at the Fermi level comes out at 13.0 states/eV per cell. The formation energy without anion corrections comes out at -1.676 eV/atom. The calculated total energy is -122.5 eV/cell. As for the space group: Im-3. Its crystal system is cubic.

Structure (POSCAR):
```
BaY7Se12
1.0
9.190 0.000 0.000
-3.063 8.664 0.000
-3.063 -4.332 7.503
Ba Y Se
1 7 12
Direct
0.000 0.000 0.000 Ba
0.500 0.000 0.500 Y
0.500 0.500 0.000 Y
0.000 0.500 0.500 Y
0.000 0.000 0.500 Y
0.500 0.000 0.000 Y
0.500 0.500 0.500 Y
0.000 0.500 0.000 Y
0.308 0.182 0.490 Se
0.308 0.818 0.126 Se
0.692 0.818 0.510 Se
0.692 0.182 0.874 Se
0.490 0.308 0.182 Se
0.874 0.692 0.182 Se
0.510 0.692 0.818 Se
0.126 0.308 0.818 Se
0.818 0.126 0.308 Se
0.182 0.874 0.692 Se
0.182 0.490 0.308 Se
0.818 0.510 0.692 Se
```

---

no.,total magnetization (μB/atom)
1,0.057
2,0.284
3,0.000
4,0.568
5,0.000
6,0.004
7,0.651
8,0.008
9,0.000
10,0.000
11,0.000
12,0.278
13,0.313
14,0.000